No. 1
Material: KZrBeTe3
Method: DFT, PBE
State: relaxed

The value obtained for the energy is -4.511 eV/atom.

The structure belongs to space group Cmcm (No. 63); the cell edges are 4.050, 16.215 and 11.096 Å and the angles 90.00°, 90.00° and 90.00°. The asymmetric unit holds K at (0.000, 0.245, 0.250), Zr at (0.000, 0.500, 0.000), Be at (0.000, 0.036, 0.750), Te at (0.000, 0.124, 0.568) and Te at (0.000, 0.440, 0.750).

=====

No. 2
Material: KThBe
Method: DFT, PBE
State: relaxed

The relative energy among the computed polymorphs is 0.0 meV/atom.

The structure belongs to space group F-43m (No. 216); the cell edges are 7.128, 7.128 and 7.128 Å and the angles 90.00°, 90.00° and 90.00°. The asymmetric unit holds K at (0.000, 0.000, 0.000), Th at (0.000, 0.000, 0.500) and Be at (0.250, 0.250, 0.250).

=====

No. 3
Material: LaLuBe
Method: DFT, PBE
State: relaxed

The relative energy among the computed polymorphs is 643.7 meV/atom.

The structure belongs to space group F-43m (No. 216); the cell edges are 6.906, 6.906 and 6.906 Å and the angles 90.00°, 90.00° and 90.00°. The asymmetric unit holds La at (0.000, 0.000, 0.000), Lu at (0.250, 0.250, 0.250) and Be at (0.250, 0.250, 0.750).

=====

No. 4
Material: LaLuBe
Method: DFT, PBE
State: relaxed

The relative energy among the computed polymorphs is 0.0 meV/atom.

The structure belongs to space group F-43m (No. 216); the cell edges are 6.858, 6.858 and 6.858 Å and the angles 90.00°, 90.00° and 90.00°. The asymmetric unit holds La at (0.000, 0.000, 0.000), Lu at (0.000, 0.000, 0.500) and Be at (0.250, 0.250, 0.250).

=====

No. 5
Material: LaLuBePd
Method: DFT, PBE
State: relaxed

The relative energy among the computed polymorphs is 184.4 meV/atom.

The structure belongs to space group F-43m (No. 216); the cell edges are 6.824, 6.824 and 6.824 Å and the angles 90.00°, 90.00° and 90.00°. The asymmetric unit holds La at (0.000, 0.000, 0.000), Lu at (0.250, 0.250, 0.750), Be at (0.000, 0.000, 0.500) and Pd at (0.250, 0.250, 0.250).

=====

No. 6
Material: LaLuBePd
Method: DFT, PBE
State: relaxed

The relative energy among the computed polymorphs is 0.0 meV/atom.

The structure belongs to space group F-43m (No. 216); the cell edges are 7.062, 7.062 and 7.062 Å and the angles 90.00°, 90.00° and 90.00°. The asymmetric unit holds La at (0.000, 0.000, 0.000), Lu at (0.000, 0.000, 0.500), Be at (0.250, 0.250, 0.250) and Pd at (0.250, 0.250, 0.750).

=====

No. 7
Material: La3LuBeS7
Method: DFT, PBE
State: relaxed

The value obtained for the energy is -6.235 eV/atom.

The structure belongs to space group P6_3 (No. 173); the cell edges are 10.2585, 10.2585 and 6.1702 Å and the angles 90.00°, 90.00° and 120.00°. The asymmetric unit holds La at (0.1376, 0.3959, 0.0000), Lu at (0.0000, 0.0000, 0.2773), Be at (0.3333, 0.6667, 0.4109), S at (0.0812, 0.2376, 0.5283), S at (0.1154, 0.5956, 0.2797) and S at (0.3333, 0.6667, 0.7599).

=====

No. 8
Material: LaBeMo
Method: DFT, PBE
State: relaxed

The value obtained for the energy is -4.888 eV/atom.

The structure belongs to space group F-43m (No. 216); the cell edges are 6.657, 6.657 and 6.657 Å and the angles 90.00°, 90.00° and 90.00°. The asymmetric unit holds La at (0.000, 0.000, 0.000), Be at (0.250, 0.250, 0.250) and Mo at (0.250, 0.250, 0.750).